1.
# La2MgIrO6

A crystal of La2MgIrO6 relaxed with PBEsol (meta-GGA SCAN, Alexandria).

Summary:
volume	245.4	Å³/cell
crystal system	monoclinic
formation energy from raw total energies	-2718	kJ/mol of formula units
N(E_F)	0.117	states/eV/atom
magnetic moment	1.02	μB per formula unit

Cell: 5.5304 5.6387 7.8684 Å, 90.00 89.96 90.00°
Last column: nearest neighbours and their distance in Å.
Positions (direct):
La  0.4893  0.5481  0.2495  6 O 2.39-2.63
La  0.0107  0.0481  0.2505  6 O 2.39-2.63
La  0.9893  0.9519  0.7495  6 O 2.39-2.63
La  0.5107  0.4519  0.7505  6 O 2.39-2.63
Mg  0.0000  0.5000  0.5000  6 O 2.04-2.06
Mg  0.5000  0.0000  0.0000  6 O 2.04-2.06
Ir  0.0000  0.5000  0.0000  6 O 2.01-2.02
Ir  0.5000  0.0000  0.5000  6 O 2.01-2.02
O  0.0840  0.5192  0.7516  1 Ir 2.01, 1 Mg 2.04
O  0.4160  0.0192  0.7484  1 Ir 2.01, 1 Mg 2.04
O  0.9160  0.4808  0.2484  1 Ir 2.01, 1 Mg 2.04
O  0.5840  0.9808  0.2516  1 Ir 2.01, 1 Mg 2.04
O  0.2088  0.7937  0.4549  1 Ir 2.02, 1 Mg 2.05
O  0.2912  0.2937  0.0451  1 Ir 2.02, 1 Mg 2.05
O  0.7912  0.2063  0.5451  1 Ir 2.02, 1 Mg 2.05
O  0.7088  0.7063  0.9549  1 Ir 2.02, 1 Mg 2.05
O  0.7968  0.2110  0.9541  1 Ir 2.01, 1 Mg 2.06
O  0.7032  0.7110  0.5459  1 Ir 2.01, 1 Mg 2.06
O  0.2032  0.7890  0.0459  1 Ir 2.01, 1 Mg 2.06
O  0.2968  0.2890  0.4541  1 Ir 2.01, 1 Mg 2.06

***

2.
# La2MgIrRh

A crystal of La2MgIrRh relaxed with PBEsol (meta-GGA SCAN, Alexandria).

Summary:
volume	139.0	Å³/cell
crystal system	tetragonal
N(E_F)	0.532	states/eV/atom
calculated formation energy	-0.203	eV/atom
magnetic moment	0.00	μB per formula unit

Cell: 4.8299 5.3644 5.3644 Å, 90.00 90.00 90.00°
Last column: nearest neighbours and their distance in Å.
Positions (direct):
Mg  0.5000  0.0000  0.0000  2 Ir 2.41
Ir  0.0000  0.0000  0.0000  2 Mg 2.41, 4 La 2.68
Rh  0.5000  0.5000  0.5000  8 La 3.61, 4 Mg 3.79
La  0.0000  0.0000  0.5000  2 Ir 2.68
La  0.0000  0.5000  0.0000  2 Ir 2.68

***

3.
# LaMn2Ir

A crystal of LaMn2Ir relaxed with PBEsol (meta-GGA SCAN, Alexandria).

Summary:
volume	68.3	Å³/cell
crystal system	tetragonal
N(E_F)	0.702	states/eV/atom
calculated formation energy	-0.238	eV/atom
magnetic moment	0.08	μB per formula unit

Cell: 3.0725 3.0725 7.2305 Å, 90.00 90.00 90.00°
Last column: nearest neighbours and their distance in Å.
Positions (direct):
Ir  0.0000  0.0000  0.4426  5 Mn 2.59-2.64
La  0.5000  0.5000  0.7377  4 Ir 3.05, 4 La 3.07, 4 Mn 3.32
Mn  0.0000  0.0000  0.0841  4 Mn 2.43, 1 Ir 2.59
Mn  0.5000  0.5000  0.2356  4 Mn 2.43, 4 Ir 2.64

***

4.
# LaMn2Ir

A crystal of LaMn2Ir relaxed with PBEsol (meta-GGA SCAN, Alexandria).

Summary:
volume	75.5	Å³/cell
crystal system	orthorhombic
N(E_F)	0.810	states/eV/atom
calculated formation energy	-0.084	eV/atom
magnetic moment	0.23	μB per formula unit

Cell: 3.9116 3.8852 5.6795 Å, 110.00 110.14 90.00°
Last column: nearest neighbours and their distance in Å.
Positions (direct):
Ir  0.5187  0.5187  0.0374  2 Mn 2.42
La  0.2927  0.7927  0.5854  2 Ir 2.97, 8 Mn 3.03-3.29
Mn  0.0254  0.0254  0.0509  2 Mn 2.39
Mn  0.6632  0.1632  0.3263  2 Mn 2.39, 2 Ir 2.42

***

5.
# LaMn2Ir

A crystal of LaMn2Ir relaxed with PBEsol (meta-GGA SCAN, Alexandria).

Summary:
volume	67.0	Å³/cell
crystal system	tetragonal
N(E_F)	0.792	states/eV/atom
calculated formation energy	-0.107	eV/atom
magnetic moment	7.63	μB per formula unit

Cell: 4.4935 4.5959 4.4935 Å, 60.73 90.00 119.27°
Last column: nearest neighbours and their distance in Å.
Positions (direct):
Ir  0.5000  0.0000  0.5000  8 Mn 2.79
La  0.0000  0.0000  0.0000  8 Mn 2.79
Mn  0.2500  0.5000  0.2500  4 La 2.79, 4 Ir 2.79
Mn  0.7500  0.5000  0.7500  4 La 2.79, 4 Ir 2.79

***

6.
# La2MnIr

A crystal of La2MnIr relaxed with PBEsol (meta-GGA SCAN, Alexandria).

Summary:
volume	82.7	Å³/cell
crystal system	cubic
N(E_F)	0.855	states/eV/atom
calculated formation energy	-0.262	eV/atom
magnetic moment	4.90	μB per formula unit

Cell: 4.8900 4.8900 4.8900 Å, 60.00 60.00 60.00°
Last column: nearest neighbours and their distance in Å.
Positions (direct):
Ir  0.5000  0.5000  0.5000  4 Mn 2.99, 4 La 2.99
La  0.0000  0.0000  0.0000  4 La 2.99, 4 Mn 2.99
La  0.7500  0.7500  0.7500  4 Ir 2.99, 4 La 2.99
Mn  0.2500  0.2500  0.2500  4 La 2.99, 4 Ir 2.99